1.
DFT (PBE) results for an optimized crystal structure of Pr7Nd5Ho.

Lattice parameters (Å, degrees): 6.904 8.965 8.965 78.68 67.35 67.35
Fractional coordinates of all 13 atoms:
Ho  0.039  0.961  0.961
Nd  0.446  0.556  0.004
Nd  0.994  0.556  0.004
Nd  0.446  0.004  0.556
Nd  0.994  0.004  0.556
Nd  0.759  0.741  0.741
Pr  0.240  0.260  0.260
Pr  0.425  0.575  0.575
Pr  0.483  0.185  0.849
Pr  0.483  0.849  0.185
Pr  0.978  0.705  0.339
Pr  0.734  0.266  0.266
Pr  0.978  0.339  0.705

density = 6.59 g/cm³

2.
DFT (PBE) results for an optimized crystal structure of Pr12Nd6Ho.

Lattice parameters (Å, degrees): 10.041 10.041 10.041 112.04 112.04 112.04
Fractional coordinates of all 19 atoms:
Nd  0.270  0.270  0.521
Nd  0.730  0.479  0.730
Nd  0.270  0.521  0.270
Nd  0.730  0.730  0.479
Nd  0.479  0.730  0.730
Nd  0.521  0.270  0.270
Pr  0.120  0.880  0.500
Pr  0.729  0.729  0.088
Pr  0.500  0.880  0.120
Pr  0.088  0.729  0.729
Pr  0.271  0.912  0.271
Pr  0.271  0.271  0.912
Pr  0.120  0.500  0.880
Pr  0.880  0.120  0.500
Pr  0.729  0.088  0.729
Pr  0.880  0.500  0.120
Pr  0.912  0.271  0.271
Pr  0.500  0.120  0.880
Ho  0.000  0.000  0.000

density = 6.50 g/cm³

Which N(E_F) belongs to each record? In order, 1.662, 1.685 states/eV/atom.
Which total energy belongs to each record? In order, -59.04, -85.01 eV/cell.
Which formation enthalpy at 0 K belongs to each record? In order, 5.026, 6.706 kcal/mol of atoms.